1.
Material: Pa2BiRh
Method: DFT, PBE-GGA
State: relaxed

Unit cell a=3.7461 b=3.7461 c=6.7857 alpha=90.00 beta=90.00 gamma=90.00
Positions (direct):
Pa: 0.0000 0.0000 0.7914
Pa: 0.0000 0.0000 0.2086
Rh: 0.5000 0.5000 0.0000
Bi: 0.5000 0.5000 0.5000

Calculated values
magnetic moment: 0.00 μB/f.u.
SG: P4/mmm (123)
calculated total energy: -31.34 eV for the cell shown
E_form: -1.12 eV/f.u.



2.
Material: Pa2BiRh9
Method: DFT, PBE-GGA
State: relaxed

Unit cell a=4.0535 b=4.0535 c=12.1732 alpha=90.00 beta=90.00 gamma=90.00
Positions (direct):
Pa: 0.0000 0.0000 0.3327
Pa: 0.0000 0.0000 0.6673
Bi: 0.0000 0.0000 0.0000
Rh: 0.5000 0.5000 0.0000
Rh: 0.5000 0.5000 0.3325
Rh: 0.5000 0.5000 0.6675
Rh: 0.5000 0.0000 0.1692
Rh: 0.5000 0.0000 0.5000
Rh: 0.5000 0.0000 0.8308
Rh: 0.0000 0.5000 0.1692
Rh: 0.0000 0.5000 0.5000
Rh: 0.0000 0.5000 0.8308

Calculated values
magnetic moment: 0.00 μB/f.u.
SG: P4/mmm (123)
calculated total energy: -96.24 eV for the cell shown
E_form: -7.20 eV/f.u.



3.
Material: PaBi4Rh
Method: DFT, PBE-GGA
State: relaxed

Unit cell a=4.1333 b=6.6727 c=12.9799 alpha=90.00 beta=99.16 gamma=90.00
Positions (direct):
Pa: 0.8845 0.8883 0.7691
Pa: 0.1155 0.3883 0.2309
Bi: 0.8997 0.4067 0.7993
Bi: 0.1003 0.9067 0.2007
Bi: 0.4727 0.7067 0.9454
Bi: 0.5273 0.2067 0.0546
Bi: 0.6938 0.6699 0.3876
Bi: 0.3062 0.1699 0.6124
Bi: 0.6953 0.1564 0.3906
Bi: 0.3047 0.6564 0.6094
Rh: 0.5781 0.6053 0.1561
Rh: 0.4219 0.1053 0.8439

Calculated values
magnetic moment: 0.00 μB/f.u.
SG: Cmc2_1 (36)
calculated total energy: -66.52 eV for the cell shown
E_form: -0.89 eV/f.u.



4.
Material: Pa2Bi3Rh
Method: DFT, PBE-GGA
State: relaxed

Unit cell a=4.5311 b=10.9337 c=13.1819 alpha=90.00 beta=90.00 gamma=90.00
Positions (direct):
Pa: 0.2500 0.6383 0.5051
Pa: 0.7500 0.3617 0.4949
Pa: 0.7500 0.1383 0.9949
Pa: 0.2500 0.8617 0.0051
Pa: 0.2500 0.9885 0.3305
Pa: 0.7500 0.0115 0.6695
Pa: 0.7500 0.4885 0.1695
Pa: 0.2500 0.5115 0.8305
Bi: 0.2500 0.3510 0.0375
Bi: 0.7500 0.6490 0.9625
Bi: 0.7500 0.8510 0.4625
Bi: 0.2500 0.1490 0.5375
Bi: 0.2500 0.6919 0.2484
Bi: 0.7500 0.3081 0.7516
Bi: 0.7500 0.1919 0.2516
Bi: 0.2500 0.8081 0.7484
Bi: 0.2500 0.4033 0.3272
Bi: 0.7500 0.5967 0.6728
Bi: 0.7500 0.9033 0.1728
Bi: 0.2500 0.0967 0.8272
Rh: 0.2500 0.0822 0.1159
Rh: 0.7500 0.9178 0.8841
Rh: 0.7500 0.5822 0.3841
Rh: 0.2500 0.4178 0.6159

Calculated values
magnetic moment: 0.00 μB/f.u.
SG: Pnma (62)
calculated total energy: -159.76 eV for the cell shown
E_form: -1.95 eV/f.u.